{"formula": "Ac3HgAs4O12", "functional": "GGA-PBE", "state": "relaxed", "e_form_raw_mev_per_atom": -1654, "m_tot_mub_per_cell": 2.89, "dos_at_fermi_per_ev_atom": 0.1799, "rho_g_cm3": 5.10, "lattice": [[6.147, 3.549, 3.417], [-6.147, 3.549, 3.417], [0.000, -7.098, 3.417]], "species": ["Ac", "Ac", "Ac", "Hg", "As", "As", "As", "As", "O", "O", "O", "O", "O", "O", "O", "O", "O", "O", "O", "O"], "fractional_positions": [[0.000, 0.554, 0.446], [0.446, 0.000, 0.554], [0.554, 0.446, 0.000], [0.000, 0.000, 0.000], [0.048, 0.500, 0.952], [0.500, 0.500, 0.500], [0.500, 0.952, 0.048], [0.952, 0.048, 0.500], [0.015, 0.244, 0.431], [0.098, 0.902, 0.500], [0.244, 0.431, 0.015], [0.342, 0.658, 0.500], [0.431, 0.015, 0.244], [0.500, 0.098, 0.902], [0.500, 0.342, 0.658], [0.569, 0.756, 0.985], [0.658, 0.500, 0.342], [0.756, 0.985, 0.569], [0.902, 0.500, 0.098], [0.985, 0.569, 0.756]]}